The following is a DFT calculation (GGA-PBEsol) of a relaxed CaTcSe crystal.

```
CaTcSe
1.0
0.0000 3.3143 3.3143
3.3143 0.0000 3.3143
3.3143 3.3143 0.0000
Ca Tc Se
1 1 1
Direct
0.0000 0.0000 0.0000
0.7500 0.7500 0.7500
0.2500 0.2500 0.2500
```

Values from the calculation:
V = 24.3 Å³ per atom
uncorrected energy = -4.813 eV/atom
space group = F-43m
density = 4.9 Mg/m³
E_form (uncorrected) = 0.94 eV per atom